(1)
A plane-wave DFT calculation with PBE was carried out for a relaxed LaZn3W crystal.

Values from the calculation:
- volume (Å³/atom) = 23.38
- raw total energy (eV/atom) = -3.950
- energy above the most stable polymorph in this dataset (eV per formula unit) = 0.00
- SG = Pm-3m (221)
- formation energy from the elements (meV per atom) = 390

Unit cell a=4.890 b=4.890 c=4.890 alpha=90.00 beta=90.00 gamma=90.00
Fractional positions:
W (0.000, 0.000, 0.000)
Zn (0.000, 0.500, 0.000)
Zn (0.500, 0.000, 0.000)
Zn (0.000, 0.000, 0.500)
La (0.500, 0.500, 0.500)

=====

(2)
A plane-wave DFT calculation with PBE was carried out for a relaxed SrZr2N crystal.

Values from the calculation:
- volume (Å³/atom) = 28.39
- raw total energy (eV/atom) = -7.143
- SG = I-42d (122)
- ΔE_f (raw) (eV per atom) = -0.37

Unit cell a=6.848 b=6.848 c=6.848 alpha=60.00 beta=60.00 gamma=90.00
Fractional positions:
Zr (0.875, 0.627, 0.750)
Zr (0.375, 0.623, 0.750)
Sr (0.750, 0.250, 0.500)
Zr (0.377, 0.125, 0.250)
N (0.250, 0.750, 0.500)
Sr (0.000, 0.000, 0.000)
N (0.500, 0.500, 0.000)
Zr (0.373, 0.625, 0.250)

=====

(3)
A plane-wave DFT calculation with PBE was carried out for a relaxed NbNiAu2 crystal.

Values from the calculation:
- volume (Å³/atom) = 16.10
- raw total energy (eV/atom) = -5.623
- SG = P4/mmm (123)
- formation energy from the elements (meV per atom) = -21

Unit cell a=2.877 b=2.877 c=7.782 alpha=90.00 beta=90.00 gamma=90.00
Fractional positions:
Au (0.000, 0.000, 0.771)
Ni (0.500, 0.500, 0.000)
Nb (0.500, 0.500, 0.500)
Au (0.000, 0.000, 0.229)